[1]
Density functional theory data (PBE) for crystalline LiSnBr3 at its relaxed geometry.

As for the density of states at the Fermi level: 0.000 states/eV/cell.

It has space group P2_1/m (No. 11), with a = 7.4096 Å, b = 4.4016 Å, c = 10.3054 Å, α = 90.00°, β = 91.28° and γ = 90.00°. The inequivalent atoms are Li at (0.1025, 0.2500, 0.3997), Sn at (0.4156, 0.2500, 0.8237), Br at (0.0617, 0.2500, 0.6502), Br at (0.2677, 0.7500, 0.0007) and Br at (0.4311, 0.2500, 0.3328).

---

[2]
Density functional theory data (PBE) for crystalline LiSnBr2 at its relaxed geometry.

The excess energy over the best structure of this formula in the dataset is 182 meV/atom. As for the density of states at the Fermi level: 9.316 states/eV/cell.

It has space group I-42d (No. 122), with a = 7.5372 Å, b = 7.5372 Å, c = 7.8580 Å, α = 90.00°, β = 90.00° and γ = 90.00°. The inequivalent atoms are Li at (0.0000, 0.0000, 0.0000), Sn at (0.0000, 0.0000, 0.5000) and Br at (0.1851, 0.7500, 0.1250).

---

[3]
Density functional theory data (PBE) for crystalline LiTbSnBr6 at its relaxed geometry.

As for the density of states at the Fermi level: 0.000 states/eV/cell.

It has space group P-31c (No. 163), with a = 7.1167 Å, b = 7.1167 Å, c = 13.1372 Å, α = 90.00°, β = 90.00° and γ = 120.00°. The inequivalent atoms are Li at (0.3333, 0.6667, 0.2500), Tb at (0.3333, 0.6667, 0.7500), Sn at (0.0000, 0.0000, 0.0000) and Br at (0.0054, 0.3541, 0.1296).

---

[4]
Density functional theory data (PBE) for crystalline Li2ThSnBr8 at its relaxed geometry.

As for the density of states at the Fermi level: 0.000 states/eV/cell.

It has space group P-1 (No. 2), with a = 7.0803 Å, b = 7.2883 Å, c = 8.9225 Å, α = 73.33°, β = 89.97° and γ = 77.92°. The inequivalent atoms are Li at (0.0424, 0.1422, 0.3293), Th at (0.5000, 0.5000, 0.0000), Sn at (0.5000, 0.5000, 0.5000), Br at (0.1159, 0.7702, 0.4413), Br at (0.1303, 0.7536, 0.9422), Br at (0.3790, 0.2660, 0.2919) and Br at (0.3833, 0.2788, 0.8139).

---

[5]
Density functional theory data (PBE) for crystalline Li2TiSnBr at its relaxed geometry.

As for the density of states at the Fermi level: 3.836 states/eV/cell.

It has space group P4/mmm (No. 123), with a = 5.4888 Å, b = 5.4888 Å, c = 4.7279 Å, α = 90.00°, β = 90.00° and γ = 90.00°. The inequivalent atoms are Li at (0.0000, 0.5000, 0.0000), Ti at (0.0000, 0.0000, 0.0000), Sn at (0.5000, 0.5000, 0.5000) and Br at (0.0000, 0.0000, 0.5000).

---

[6]
Density functional theory data (PBE) for crystalline LiTl2SnBr6 at its relaxed geometry.

As for the density of states at the Fermi level: 9.396 states/eV/cell.

It has space group P2_1/c (No. 14), with a = 7.5581 Å, b = 7.8791 Å, c = 13.1654 Å, α = 90.00°, β = 124.84° and γ = 90.00°. The inequivalent atoms are Li at (0.0000, 0.0000, 0.0000), Tl at (0.2284, 0.0747, 0.7501), Sn at (0.5000, 0.0000, 0.5000), Br at (0.1587, 0.2036, 0.4585), Br at (0.2629, 0.7016, 0.4624) and Br at (0.3285, 0.0096, 0.2460).

---

[7]
Density functional theory data (PBE) for crystalline LiTlSn2Br6 at its relaxed geometry.

As for the density of states at the Fermi level: 0.000 states/eV/cell.

It has space group P1 (No. 1), with a = 7.5415 Å, b = 7.5483 Å, c = 8.2452 Å, α = 90.04°, β = 117.18° and γ = 119.96°. The inequivalent atoms are Li at (0.0000, 0.0000, 0.0000), Tl at (0.0409, 0.5204, 0.5614), Sn at (0.6214, 0.8108, 0.4323), Sn at (0.6496, 0.3249, 0.9746), Br at (0.1491, 0.9671, 0.7560), Br at (0.1548, 0.7518, 0.2265), Br at (0.4740, 0.4025, 0.2259), Br at (0.5745, 0.6074, 0.7558), Br at (0.7882, 0.1810, 0.7552) and Br at (0.8233, 0.0719, 0.2259).

---

[8]
Density functional theory data (PBE) for crystalline Li3Tl2SnBr8 at its relaxed geometry.

As for the density of states at the Fermi level: 22.522 states/eV/cell.

It has space group R3m (No. 160, hexagonal axes), with a = 8.4280 Å, b = 8.4280 Å, c = 22.4591 Å, α = 90.00°, β = 90.00° and γ = 120.00°. The inequivalent atoms are Li at (0.1719, 0.3437, 0.0000), Tl at (0.0000, 0.0000, 0.1717), Tl at (0.0000, 0.0000, 0.5393), Sn at (0.0000, 0.0000, 0.8053), Br at (0.0000, 0.0000, 0.4007), Br at (0.0000, 0.0000, 0.9584), Br at (0.0153, 0.5077, 0.4106) and Br at (0.0168, 0.5084, 0.9385).

---

[9]
Density functional theory data (PBE) for crystalline LiTl2SnBr5 at its relaxed geometry.

As for the density of states at the Fermi level: 0.000 states/eV/cell.

It has space group Cmc2_1 (No. 36), with a = 4.4224 Å, b = 19.1619 Å, c = 14.3983 Å, α = 90.00°, β = 90.00° and γ = 90.00°. The inequivalent atoms are Li at (0.0000, 0.0540, 0.0000), Tl at (0.0000, 0.3713, 0.8876), Tl at (0.0000, 0.4074, 0.2350), Sn at (0.0000, 0.2942, 0.5960), Br at (0.0000, 0.0048, 0.3447), Br at (0.0000, 0.1439, 0.5671), Br at (0.0000, 0.1873, 0.9543), Br at (0.0000, 0.2176, 0.2390) and Br at (0.0000, 0.4563, 0.5903).

---

[10]
Density functional theory data (PBE) for crystalline LiTlSnBr6 at its relaxed geometry.

It has space group P-31c (No. 163), with a = 7.0575 Å, b = 7.0575 Å, c = 14.5117 Å, α = 90.00°, β = 90.00° and γ = 120.00°. The inequivalent atoms are Li at (0.3333, 0.6667, 0.2500), Tl at (0.0000, 0.0000, 0.0000), Sn at (0.3333, 0.6667, 0.7500) and Br at (0.0111, 0.3753, 0.6440).

---

[11]
Density functional theory data (PBE) for crystalline LiTmSnBr6 at its relaxed geometry.

As for the density of states at the Fermi level: 0.000 states/eV/cell.

It has space group P-31c (No. 163), with a = 7.0686 Å, b = 7.0686 Å, c = 13.0957 Å, α = 90.00°, β = 90.00° and γ = 120.00°. The inequivalent atoms are Li at (0.3333, 0.6667, 0.2500), Tm at (0.3333, 0.6667, 0.7500), Sn at (0.0000, 0.0000, 0.0000) and Br at (0.0008, 0.3537, 0.1305).

---

[12]
Density functional theory data (PBE) for crystalline Li2USnBr8 at its relaxed geometry.

As for the density of states at the Fermi level: 4.838 states/eV/cell.

It has space group P-1 (No. 2), with a = 7.0400 Å, b = 7.2413 Å, c = 8.8438 Å, α = 72.89°, β = 89.97° and γ = 77.80°. The inequivalent atoms are Li at (0.0432, 0.1480, 0.3286), U at (0.5000, 0.5000, 0.0000), Sn at (0.5000, 0.5000, 0.5000), Br at (0.1121, 0.7714, 0.4364), Br at (0.1366, 0.7500, 0.9459), Br at (0.3801, 0.2673, 0.2909) and Br at (0.3818, 0.2822, 0.8200).

---

[13]
Density functional theory data (PBE) for crystalline Li2VSnBr6 at its relaxed geometry.

It has space group R3 (No. 146, hexagonal axes), with a = 6.9569 Å, b = 6.9569 Å, c = 19.1966 Å, α = 90.00°, β = 90.00° and γ = 120.00°. The inequivalent atoms are Li at (0.0000, 0.0000, 0.0000), Li at (0.0000, 0.0000, 0.4909), V at (0.0000, 0.0000, 0.6796), Sn at (0.0000, 0.0000, 0.1874), Br at (0.0038, 0.3287, 0.7523) and Br at (0.0208, 0.6352, 0.2612).

---

[14]
Density functional theory data (PBE) for crystalline LiYSnBr6 at its relaxed geometry.

As for the density of states at the Fermi level: 0.000 states/eV/cell.

It has space group P-31c (No. 163), with a = 7.1083 Å, b = 7.1083 Å, c = 13.1272 Å, α = 90.00°, β = 90.00° and γ = 120.00°. The inequivalent atoms are Li at (0.3333, 0.6667, 0.2500), Y at (0.3333, 0.6667, 0.7500), Sn at (0.0000, 0.0000, 0.0000) and Br at (0.0046, 0.3540, 0.1297).

---

[15]
Density functional theory data (PBE) for crystalline SrLiBr2 at its relaxed geometry.

The excess energy over the best structure of this formula in the dataset is 168 meV/atom. As for the density of states at the Fermi level: 1.605 states/eV/cell.

It has space group C2/m (No. 12), with a = 8.4455 Å, b = 8.5054 Å, c = 4.5470 Å, α = 90.00°, β = 94.86° and γ = 90.00°. The inequivalent atoms are Sr at (0.0000, 0.0000, 0.0000), Li at (0.0000, 0.5000, 0.0000) and Br at (0.2500, 0.2500, 0.0000).

---

[16]
Density functional theory data (PBE) for crystalline SrLiBr2 at its relaxed geometry.

The excess energy over the best structure of this formula in the dataset is 106 meV/atom. As for the density of states at the Fermi level: 12.532 states/eV/cell.

It has space group I-42d (No. 122), with a = 6.7056 Å, b = 6.7056 Å, c = 12.6922 Å, α = 90.00°, β = 90.00° and γ = 90.00°. The inequivalent atoms are Sr at (0.0000, 0.0000, 0.0000), Li at (0.0000, 0.0000, 0.5000) and Br at (0.1796, 0.2500, 0.6250).

---

[17]
Density functional theory data (PBE) for crystalline Sr2LiBr at its relaxed geometry.

The excess energy over the best structure of this formula in the dataset is 55 meV/atom. As for the density of states at the Fermi level: 6.526 states/eV/cell.

It has space group Cmmm (No. 65), with a = 5.1478 Å, b = 6.1218 Å, c = 9.1760 Å, α = 90.00°, β = 90.00° and γ = 90.00°. The inequivalent atoms are Sr at (0.0000, 0.0000, 0.2447), Li at (0.0000, 0.5000, 0.0000) and Br at (0.0000, 0.5000, 0.5000).

---

[18]
Density functional theory data (PBE) for crystalline SrLiBr2 at its relaxed geometry.

The excess energy over the best structure of this formula in the dataset is 75 meV/atom. As for the density of states at the Fermi level: 2.114 states/eV/cell.

It has space group Cmmm (No. 65), with a = 3.9203 Å, b = 7.9144 Å, c = 8.6320 Å, α = 90.00°, β = 90.00° and γ = 90.00°. The inequivalent atoms are Sr at (0.0000, 0.0000, 0.0000), Li at (0.0000, 0.0000, 0.5000) and Br at (0.0000, 0.5000, 0.2914).

---

[19]
Density functional theory data (PBE) for crystalline Sr2LiBr at its relaxed geometry.

The excess energy over the best structure of this formula in the dataset is 66 meV/atom. As for the density of states at the Fermi level: 3.596 states/eV/cell.

It has space group Pmm2 (No. 25), with a = 4.6922 Å, b = 4.7336 Å, c = 6.8340 Å, α = 90.00°, β = 90.00° and γ = 90.00°. The inequivalent atoms are Sr at (0.0000, 0.0000, 0.0000), Sr at (0.5000, 0.5000, 0.4983), Li at (0.5000, 0.5000, 0.9984) and Br at (0.0000, 0.0000, 0.4998).

---

[20]
Density functional theory data (PBE) for crystalline SrLiBr2 at its relaxed geometry.

The excess energy over the best structure of this formula in the dataset is 0 meV/atom. As for the density of states at the Fermi level: 1.929 states/eV/cell.

It has space group R3m (No. 160, hexagonal axes), with a = 4.0720 Å, b = 4.0720 Å, c = 23.1817 Å, α = 90.00°, β = 90.00° and γ = 120.00°. The inequivalent atoms are Sr at (0.0000, 0.0000, 0.0000), Li at (0.0000, 0.0000, 0.1687), Br at (0.0000, 0.0000, 0.5665) and Br at (0.0000, 0.0000, 0.7662).

---

Sequential formation energy from raw total energies output: -1.06; -0.69; -1.41; -1.41; 0.43; -0.89; -0.91; -0.99; -0.98; -0.88; -1.40; -1.23; -1.04; -1.41; -1.26; -1.33; -0.62; -1.36; -0.61; -1.43 eV/atom
Sequential M_tot output: 0.00; 0.00; 0.00; 0.00; 1.76; 0.00; 0.00; 0.00; 0.00; 0.00; 0.00; 2.00; 9.00; 0.00; 0.00; 2.76; 0.00; 0.90; 0.89; 2.67 Bohr magnetons per cell